A geometry-optimized ScZnO2 structure, computed with PBE.

The structure in POSCAR format:
```
ScZnO2
1.0
4.937 0.000 0.000
0.000 4.937 0.000
2.468 2.468 4.903
Sc Zn O
2 2 4
direct
0.500 0.500 0.000 Sc
0.250 0.750 0.500 Sc
0.000 0.000 0.000 Zn
0.750 0.250 0.500 Zn
0.584 0.125 0.250 O
0.166 0.625 0.250 O
0.375 0.416 0.750 O
0.875 0.834 0.750 O
```

Properties
Symmetry = I-42d
Formation energy from raw total energies = -2.07 eV/atom
Size of the total moment = 0.000 μB/cell
D(E_F) = 0.3077 states/eV per atom
Density = 3.96 g/cm3